Computed, not measured: a geometry-optimized DyTmCu2Pb structure at the GGA-PBE level of DFT.

Values from the calculation:
VASP energy: -4.41 eV/atom
Calculated density: 10.35 g/cm3

```
5
Lattice="3.659 0.000 0.000 0.000 2.095 6.965 0.000 -2.095 6.965" Properties=species:S:1:pos:R:3 pbc="T T T"
Dy 0.000 0.000 0.000
Tm 0.000 0.000 3.782
Cu 1.830 0.000 6.001
Cu 1.830 0.000 11.666
Pb 1.830 0.000 8.861
```